VASP calculation (PBE) on crystalline KCrRe3 at its relaxed geometry.

As for the energy relative to the elements: 3.950 eV/atom. For the magnetic moment, the calculation gives 0.0 μB per formula unit. The volume comes out at 17.27 A^3/atom. For the relative energy among the computed polymorphs, the calculation gives 2083.7 meV/atom.

a b c (Å): 4.420 4.420 4.420
angles (deg): 90.00 90.00 90.00
Space group Pm-3m (No. 221)
Asymmetric unit:
K 0.000 0.000 0.000 [1 per cell]
Cr 0.500 0.500 0.500 [1 per cell]
Re 0.000 0.000 0.500 [3 per cell]

***

VASP calculation (PBE) on crystalline KCr2Re at its relaxed geometry.

As for the energy relative to the elements: 1.676 eV/atom. For the magnetic moment, the calculation gives 0.0 μB per formula unit. The volume comes out at 15.64 A^3/atom. For the relative energy among the computed polymorphs, the calculation gives 880.8 meV/atom.

a b c (Å): 6.302 6.302 6.302
angles (deg): 90.00 90.00 90.00
Space group Fm-3m (No. 225)
Asymmetric unit:
K 0.000 0.000 0.000 [4 per cell]
Cr 0.250 0.250 0.250 [8 per cell]
Re 0.000 0.000 0.500 [4 per cell]

***

VASP calculation (PBE) on crystalline KCrRe2 at its relaxed geometry.

As for the energy relative to the elements: 0.846 eV/atom. For the magnetic moment, the calculation gives 3.9 μB per formula unit. The volume comes out at 20.62 A^3/atom. For the relative energy among the computed polymorphs, the calculation gives 84.7 meV/atom.

a b c (Å): 3.048 3.048 8.877
angles (deg): 90.00 90.00 90.00
Space group P4mm (No. 99)
Asymmetric unit:
K 0.000 0.000 0.000 [1 per cell]
Cr 0.500 0.500 0.670 [1 per cell]
Re 0.000 0.000 0.487 [1 per cell]
Re 0.500 0.500 0.326 [1 per cell]

***

VASP calculation (PBE) on crystalline KCrRe2 at its relaxed geometry.

As for the energy relative to the elements: 1.152 eV/atom. For the magnetic moment, the calculation gives 2.4 μB per formula unit. The volume comes out at 17.79 A^3/atom. For the relative energy among the computed polymorphs, the calculation gives 391.2 meV/atom.

a b c (Å): 2.665 5.028 10.622
angles (deg): 90.00 90.00 90.00
Space group Immm (No. 71)
Asymmetric unit:
K 0.000 0.000 0.000 [2 per cell]
Cr 0.000 0.000 0.500 [2 per cell]
Re 0.000 0.500 0.212 [4 per cell]

***

Q: Among the records above, which one has the lowest volume?
A: KCr2Re

***

Please write out number 4 again, unchanged.
VASP calculation (PBE) on crystalline KCrRe2 at its relaxed geometry.

As for the energy relative to the elements: 1.152 eV/atom. For the magnetic moment, the calculation gives 2.4 μB per formula unit. The volume comes out at 17.79 A^3/atom. For the relative energy among the computed polymorphs, the calculation gives 391.2 meV/atom.

a b c (Å): 2.665 5.028 10.622
angles (deg): 90.00 90.00 90.00
Space group Immm (No. 71)
Asymmetric unit:
K 0.000 0.000 0.000 [2 per cell]
Cr 0.000 0.000 0.500 [2 per cell]
Re 0.000 0.500 0.212 [4 per cell]